The following is a PBE calculation of crystalline BeCr2Au at its relaxed geometry, from Alexandria via LeMat-Bulk.

```
4
Lattice="4.577 0.028 0.000 1.360 4.371 0.000 -2.968 -2.199 2.703" Properties=species:S:1:pos:R:3 pbc="T T T"
Cr 0.680 2.185 1.351
Cr 0.000 0.000 0.000
Be 2.289 0.014 1.351
Au 2.968 2.199 0.000
```

- SG: I-4m2 (119)
- Calculated total energy: -25.6 eV/cell
- ΔE_f: 0.16 eV per atom
- V: 53.97 Å³ per cell



The following is a PBE calculation of crystalline Mg2ZnCu at its relaxed geometry, from Alexandria via LeMat-Bulk.

```
8
Lattice="-2.199 2.199 7.039 2.199 -2.199 7.039 2.199 2.199 -7.039" Properties=species:S:1:pos:R:3 pbc="T T T"
Mg 0.000 0.000 4.976
Mg 0.000 2.199 0.000
Mg 0.000 0.000 9.101
Mg 2.199 0.000 0.000
Zn 0.000 0.000 2.063
Zn 0.000 0.000 12.015
Cu 0.000 2.199 3.519
Cu 2.199 0.000 3.519
```

- SG: I4/mmm (139)
- Calculated total energy: -17.6 eV/cell
- ΔE_f: -0.06 eV per atom
- V: 136.18 Å³ per cell



The following is a PBE calculation of crystalline NbSi3Sb at its relaxed geometry, from Alexandria via LeMat-Bulk.

```
5
Lattice="4.917 0.000 0.000 0.000 4.917 0.000 0.000 0.000 4.917" Properties=species:S:1:pos:R:3 pbc="T T T"
Si 0.000 0.000 2.458
Si 0.000 2.458 0.000
Si 2.458 0.000 0.000
Nb 0.000 0.000 0.000
Sb 2.458 2.458 2.458
```

- SG: Pm-3m (221)
- Calculated total energy: -26.6 eV/cell
- V: 118.84 Å³ per cell



The following is a PBE calculation of crystalline Y5Ho2Sc at its relaxed geometry, from Alexandria via LeMat-Bulk.

```
8
Lattice="6.877 -0.506 -2.038 -3.948 5.650 -2.047 0.102 0.191 6.645" Properties=species:S:1:pos:R:3 pbc="T T T"
Sc 2.839 3.931 3.467
Y 4.787 1.104 4.501
Y 1.384 1.355 5.509
Y -0.712 4.016 -2.168
Y 0.427 1.773 2.185
Y 1.892 4.347 0.145
Ho -1.589 4.587 1.117
Ho 3.854 1.564 1.213
```

- SG: Fmm2 (42)
- Calculated total energy: -47.7 eV/cell
- ΔE_f: 0.01 eV per atom
- V: 250.39 Å³ per cell